Compound: Y4TmSe5
Source: the Alexandria database
Functional: PBE
Structure: optimized geometry

Values from the calculation:
D(E_F): 0.490 states/eV/atom
Total magnetization: 0.000 μB per atom
Formation energy without anion corrections: -17.4 eV/f.u.

```
data_Y4TmSe5
_cell_length_a 9.099
_cell_length_b 9.099
_cell_length_c 5.770
_cell_angle_alpha 90.00
_cell_angle_beta 90.00
_cell_angle_gamma 90.00
_symmetry_space_group_name_H-M 'I 4'
_symmetry_Int_Tables_number 79
_symmetry_space_group_name_Hall 'I 4'
loop_
_atom_site_label
_atom_site_type_symbol
_atom_site_fract_x
_atom_site_fract_y
_atom_site_fract_z
Y1 Y 0.097 0.304 0.000
Tm1 Tm 0.000 0.000 0.501
Se1 Se 0.000 0.000 0.001
Se2 Se 0.101 0.294 0.500
```

Compound: YTmSe2
Source: the Alexandria database
Functional: PBE
Structure: optimized geometry

Values from the calculation:
D(E_F): 0.485 states/eV/atom
Energy relative to the lowest polymorph listed for this composition: 9.7 meV per atom
Total magnetization: 0.000 μB per atom
Formation energy without anion corrections: -6.9 eV/f.u.

```
data_YTmSe2
_cell_length_a 4.0525
_cell_length_b 4.0525
_cell_length_c 19.8391
_cell_angle_alpha 90.00
_cell_angle_beta 90.00
_cell_angle_gamma 120.00
_symmetry_space_group_name_H-M 'R -3 m'
_symmetry_Int_Tables_number 166
_symmetry_space_group_name_Hall '-R 3 2"'
loop_
_atom_site_label
_atom_site_type_symbol
_atom_site_fract_x
_atom_site_fract_y
_atom_site_fract_z
Y1 Y 0.0000 0.0000 0.0000
Tm1 Tm 0.0000 0.0000 0.5000
Se1 Se 0.0000 0.0000 0.2476
```

Compound: Y2TmSe
Source: the Alexandria database
Functional: PBE
Structure: optimized geometry

Values from the calculation:
D(E_F): 1.052 states/eV/atom
Energy relative to the lowest polymorph listed for this composition: 0.0 meV per atom
Total magnetization: 0.081 μB per atom
Formation energy without anion corrections: -3.3 eV/f.u.

```
data_Y2TmSe
_cell_length_a 3.7970
_cell_length_b 3.7970
_cell_length_c 27.9076
_cell_angle_alpha 90.00
_cell_angle_beta 90.00
_cell_angle_gamma 120.00
_symmetry_space_group_name_H-M 'R 3 m'
_symmetry_Int_Tables_number 160
_symmetry_space_group_name_Hall 'R 3 -2"'
loop_
_atom_site_label
_atom_site_type_symbol
_atom_site_fract_x
_atom_site_fract_y
_atom_site_fract_z
Y1 Y 0.0000 0.0000 0.0000
Y2 Y 0.0000 0.0000 0.2007
Tm1 Tm 0.0000 0.0000 0.7676
Se1 Se 0.0000 0.0000 0.6005
```